--- w ---
Dy2YNi after structural relaxation. Source: Alexandria, functional PBE.

Structure (CIF):
```
data_Dy2YNi
_chemical_formula_sum 'Dy2 Y1 Ni1'
_cell_length_a 9.6625
_cell_length_b 9.6625
_cell_length_c 9.6625
_cell_angle_alpha 21.83
_cell_angle_beta 21.83
_cell_angle_gamma 21.83
_space_group_name_H-M_alt 'P 1'
_space_group_IT_number 1
_space_group_name_Hall 'P 1'
loop_
_atom_site_label
_atom_site_fract_x
_atom_site_fract_y
_atom_site_fract_z
Dy1 0.2274 0.2274 0.2274
Dy2 0.7726 0.7726 0.7726
Y1 0.0000 0.0000 0.0000
Ni1 0.5000 0.5000 0.5000
```

Summary:
**N(E_F)**: 4.47 states/eV/cell
**Crystal system**: trigonal
**Total moment**: 0.000 μB/f.u.

---

--- x ---
Dy2YNi after structural relaxation. Source: Alexandria, functional PBE.

Structure (CIF):
```
data_Dy2YNi
_chemical_formula_sum 'Dy2 Y1 Ni1'
_cell_length_a 9.1346
_cell_length_b 9.1346
_cell_length_c 9.1346
_cell_angle_alpha 24.06
_cell_angle_beta 24.06
_cell_angle_gamma 24.06
_space_group_name_H-M_alt 'P 1'
_space_group_IT_number 1
_space_group_name_Hall 'P 1'
loop_
_atom_site_label
_atom_site_fract_x
_atom_site_fract_y
_atom_site_fract_z
Dy1 0.0000 0.0000 0.0000
Dy2 0.2155 0.2155 0.2155
Y1 0.4429 0.4429 0.4429
Ni1 0.6069 0.6069 0.6069
```

Summary:
**N(E_F)**: 5.05 states/eV/cell
**Crystal system**: trigonal
**Total moment**: 0.000 μB/f.u.

---

--- y ---
Dy2YNi after structural relaxation. Source: Alexandria, functional PBE.

Structure (CIF):
```
data_Dy2YNi
_chemical_formula_sum 'Dy2 Y1 Ni1'
_cell_length_a 3.4444
_cell_length_b 3.4444
_cell_length_c 8.6912
_cell_angle_alpha 90.00
_cell_angle_beta 90.00
_cell_angle_gamma 90.00
_space_group_name_H-M_alt 'P 1'
_space_group_IT_number 1
_space_group_name_Hall 'P 1'
loop_
_atom_site_label
_atom_site_fract_x
_atom_site_fract_y
_atom_site_fract_z
Dy1 0.0000 0.0000 0.1858
Dy2 0.0000 0.0000 0.8142
Y1 0.5000 0.5000 0.5000
Ni1 0.5000 0.5000 0.0000
```

Summary:
**N(E_F)**: 5.58 states/eV/cell
**Crystal system**: tetragonal
**Total moment**: 0.000 μB/f.u.

---

--- z ---
Dy2YNi after structural relaxation. Source: Alexandria, functional PBE.

Structure (CIF):
```
data_Dy2YNi
_chemical_formula_sum 'Dy8 Y4 Ni4'
_cell_length_a 6.8620
_cell_length_b 9.6117
_cell_length_c 6.3105
_cell_angle_alpha 90.00
_cell_angle_beta 90.00
_cell_angle_gamma 90.00
_space_group_name_H-M_alt 'P 1'
_space_group_IT_number 1
_space_group_name_Hall 'P 1'
loop_
_atom_site_label
_atom_site_fract_x
_atom_site_fract_y
_atom_site_fract_z
Dy1 0.1789 0.0663 0.1772
Dy2 0.1789 0.4337 0.1772
Dy3 0.3211 0.5663 0.6772
Dy4 0.3211 0.9337 0.6772
Dy5 0.6789 0.0663 0.3228
Dy6 0.6789 0.4337 0.3228
Dy7 0.8211 0.5663 0.8228
Dy8 0.8211 0.9337 0.8228
Y1 0.0325 0.2500 0.6395
Y2 0.4675 0.7500 0.1395
Y3 0.5325 0.2500 0.8605
Y4 0.9675 0.7500 0.3605
Ni1 0.1088 0.7500 0.9399
Ni2 0.3912 0.2500 0.4399
Ni3 0.6088 0.7500 0.5601
Ni4 0.8912 0.2500 0.0601
```

Summary:
**N(E_F)**: 17.59 states/eV/cell
**Crystal system**: orthorhombic
**Total moment**: 0.000 μB/f.u.

---

Relative energies, meV/atom: w 163; x 146; y 85; z 0.

---

--- w ---
Dy3YNi2 after structural relaxation. Source: Alexandria, functional PBE.

Structure (CIF):
```
data_Dy3YNi2
_chemical_formula_sum 'Dy6 Y2 Ni4'
_cell_length_a 7.8965
_cell_length_b 7.8965
_cell_length_c 8.0614
_cell_angle_alpha 110.02
_cell_angle_beta 110.02
_cell_angle_gamma 37.21
_space_group_name_H-M_alt 'P 1'
_space_group_IT_number 1
_space_group_name_Hall 'P 1'
loop_
_atom_site_label
_atom_site_fract_x
_atom_site_fract_y
_atom_site_fract_z
Dy1 0.0646 0.0646 0.2408
Dy2 0.3196 0.3196 0.5008
Dy3 0.3740 0.3740 0.9945
Dy4 0.6260 0.6260 0.0055
Dy5 0.6804 0.6804 0.4992
Dy6 0.9354 0.9354 0.7592
Y1 0.1462 0.1462 0.7340
Y2 0.8538 0.8538 0.2660
Ni1 0.2204 0.2204 0.1282
Ni2 0.4875 0.4875 0.3445
Ni3 0.5125 0.5125 0.6555
Ni4 0.7796 0.7796 0.8718
```

Summary:
**N(E_F)**: 11.14 states/eV/cell
**Crystal system**: monoclinic
**Total moment**: 0.000 μB/f.u.

---

--- x ---
Dy3YNi2 after structural relaxation. Source: Alexandria, functional PBE.

Structure (CIF):
```
data_Dy3YNi2
_chemical_formula_sum 'Dy6 Y2 Ni4'
_cell_length_a 8.2624
_cell_length_b 8.2624
_cell_length_c 11.3781
_cell_angle_alpha 122.31
_cell_angle_beta 122.31
_cell_angle_gamma 27.20
_space_group_name_H-M_alt 'P 1'
_space_group_IT_number 1
_space_group_name_Hall 'P 1'
loop_
_atom_site_label
_atom_site_fract_x
_atom_site_fract_y
_atom_site_fract_z
Dy1 0.0825 0.0825 0.4406
Dy2 0.0825 0.0825 0.9410
Dy3 0.3454 0.3454 0.7532
Dy4 0.6546 0.6546 0.2468
Dy5 0.9175 0.9175 0.0590
Dy6 0.9175 0.9175 0.5594
Y1 0.3468 0.3468 0.2551
Y2 0.6532 0.6532 0.7449
Ni1 0.2683 0.2683 0.4503
Ni2 0.2689 0.2689 0.9511
Ni3 0.7311 0.7311 0.0489
Ni4 0.7317 0.7317 0.5497
```

Summary:
**N(E_F)**: 13.51 states/eV/cell
**Crystal system**: monoclinic
**Total moment**: 0.000 μB/f.u.

---

Relative energies, meV/atom: w 101; x 0.

---

--- w ---
DyYZnNi after structural relaxation. Source: Alexandria, functional PBE.

Structure (CIF):
```
data_DyYZnNi
_chemical_formula_sum 'Dy1 Y1 Zn1 Ni1'
_cell_length_a 4.9170
_cell_length_b 4.9170
_cell_length_c 4.9170
_cell_angle_alpha 60.00
_cell_angle_beta 60.00
_cell_angle_gamma 60.00
_space_group_name_H-M_alt 'P 1'
_space_group_IT_number 1
_space_group_name_Hall 'P 1'
loop_
_atom_site_label
_atom_site_fract_x
_atom_site_fract_y
_atom_site_fract_z
Dy1 0.0000 0.0000 0.0000
Y1 0.5000 0.5000 0.5000
Zn1 0.7500 0.7500 0.7500
Ni1 0.2500 0.2500 0.2500
```

Summary:
**N(E_F)**: 2.44 states/eV/cell
**Crystal system**: cubic
**Total moment**: 0.000 μB/f.u.

---

--- x ---
DyYZnNi after structural relaxation. Source: Alexandria, functional PBE.

Structure (CIF):
```
data_DyYZnNi
_chemical_formula_sum 'Dy1 Y1 Zn1 Ni1'
_cell_length_a 3.4711
_cell_length_b 3.4711
_cell_length_c 6.9806
_cell_angle_alpha 90.00
_cell_angle_beta 90.00
_cell_angle_gamma 90.00
_space_group_name_H-M_alt 'P 1'
_space_group_IT_number 1
_space_group_name_Hall 'P 1'
loop_
_atom_site_label
_atom_site_fract_x
_atom_site_fract_y
_atom_site_fract_z
Dy1 0.0000 0.0000 0.0000
Y1 0.0000 0.0000 0.4694
Zn1 0.5000 0.5000 0.7362
Ni1 0.5000 0.5000 0.2288
```

Summary:
**N(E_F)**: 3.51 states/eV/cell
**Crystal system**: tetragonal
**Total moment**: 0.000 μB/f.u.

---

Relative energies, meV/atom: w 26; x 0.

---

--- w ---
Dy12ZnNi6 after structural relaxation. Source: Alexandria, functional PBE.

Structure (CIF):
```
data_Dy12ZnNi6
_chemical_formula_sum 'Dy12 Zn1 Ni6'
_cell_length_a 8.3489
_cell_length_b 8.3489
_cell_length_c 8.3489
_cell_angle_alpha 109.47
_cell_angle_beta 109.47
_cell_angle_gamma 109.47
_space_group_name_H-M_alt 'P 1'
_space_group_IT_number 1
_space_group_name_Hall 'P 1'
loop_
_atom_site_label
_atom_site_fract_x
_atom_site_fract_y
_atom_site_fract_z
Dy1 0.1151 0.8139 0.3012
Dy2 0.1861 0.3012 0.4874
Dy3 0.1861 0.6988 0.8849
Dy4 0.3012 0.1151 0.8139
Dy5 0.3012 0.4874 0.1861
Dy6 0.4874 0.1861 0.3012
Dy7 0.5126 0.8139 0.6988
Dy8 0.6988 0.5126 0.8139
Dy9 0.6988 0.8849 0.1861
Dy10 0.8139 0.3012 0.1151
Dy11 0.8139 0.6988 0.5126
Dy12 0.8849 0.1861 0.6988
Zn1 0.0000 0.0000 0.0000
Ni1 0.1244 0.6244 0.5000
Ni2 0.3756 0.5000 0.8756
Ni3 0.5000 0.1244 0.6244
Ni4 0.5000 0.8756 0.3756
Ni5 0.6244 0.5000 0.1244
Ni6 0.8756 0.3756 0.5000
```

Summary:
**N(E_F)**: 21.24 states/eV/cell
**Crystal system**: cubic
**Total moment**: 0.000 μB/f.u.

---

--- x ---
Dy12ZnNi6 after structural relaxation. Source: Alexandria, functional PBE.

Structure (CIF):
```
data_Dy12ZnNi6
_chemical_formula_sum 'Dy12 Zn1 Ni6'
_cell_length_a 8.1953
_cell_length_b 8.1953
_cell_length_c 8.1953
_cell_angle_alpha 104.00
_cell_angle_beta 104.00
_cell_angle_gamma 104.00
_space_group_name_H-M_alt 'P 1'
_space_group_IT_number 1
_space_group_name_Hall 'P 1'
loop_
_atom_site_label
_atom_site_fract_x
_atom_site_fract_y
_atom_site_fract_z
Dy1 0.0757 0.3300 0.9231
Dy2 0.0769 0.9243 0.6700
Dy3 0.1681 0.5496 0.4073
Dy4 0.3300 0.9231 0.0757
Dy5 0.4073 0.1681 0.5496
Dy6 0.4504 0.5927 0.8319
Dy7 0.5496 0.4073 0.1681
Dy8 0.5927 0.8319 0.4504
Dy9 0.6700 0.0769 0.9243
Dy10 0.8319 0.4504 0.5927
Dy11 0.9231 0.0757 0.3300
Dy12 0.9243 0.6700 0.0769
Zn1 0.0000 0.0000 0.0000
Ni1 0.1469 0.3176 0.6171
Ni2 0.3176 0.6171 0.1469
Ni3 0.3829 0.8531 0.6824
Ni4 0.6171 0.1469 0.3176
Ni5 0.6824 0.3829 0.8531
Ni6 0.8531 0.6824 0.3829
```

Summary:
**N(E_F)**: 19.53 states/eV/cell
**Crystal system**: trigonal
**Total moment**: 0.000 μB/f.u.

---

Relative energies, meV/atom: w 0; x 178.